DFT (PBE) results for a relaxed NaAl2GeSe6 crystal.

Cell and atoms, written as CIF:
```
data_NaAl2GeSe6
_chemical_formula_sum 'Na4 Al8 Ge4 Se24'
_cell_length_a 13.326
_cell_length_b 13.211
_cell_length_c 7.596
_cell_angle_alpha 90.00
_cell_angle_beta 116.60
_cell_angle_gamma 90.00
_symmetry_space_group_name_H-M 'C 1 2/c 1'
_symmetry_Int_Tables_number 15
loop_
_symmetry_equiv_pos_as_xyz
'x,y,z'
'-x,-y,-z'
'-x,y,-z+1/2'
'x,-y,z+1/2'
'x+1/2,y+1/2,z'
'-x+1/2,-y+1/2,-z'
'-x+1/2,y+1/2,-z+1/2'
'x+1/2,-y+1/2,z+1/2'
loop_
_atom_site_label
_atom_site_fract_x
_atom_site_fract_y
_atom_site_fract_z
Na1 0.000 0.129 0.250
Al1 0.184 0.420 0.115
Ge1 0.000 0.177 0.750
Se1 0.118 0.065 0.670
Se2 0.118 0.248 0.065
Se3 0.122 0.447 0.374
```

For the calculated total energy, the calculation gives -4.003 eV per atom. The value obtained for the uncorrected formation energy is -571 meV per atom.